# 1
Computed, not measured: a geometry-optimized Pm6PSe3S2 structure at the GGA-PBE level of DFT.

Unit cell a=7.1123 b=12.3252 c=7.2503 alpha=90.00 beta=109.06 gamma=90.00
Closest atoms and distances in Å follow each position.
Space group C2/m (No. 12)
Inequivalent atoms, fractional coordinates:
Pm (0.2405, 0.1643, 0.2282) (multiplicity 8)  1 P 2.81, 2 S 2.85-2.86, 3 Se 3.00-3.04
Pm (0.2470, 0.5000, 0.2277) (multiplicity 4)  1 P 2.81, 2 S 2.85, 3 Se 3.01-3.04
P (0.0000, 0.0000, 0.0000) (multiplicity 2)  6 Pm 2.81
Se (0.0000, 0.1670, 0.5000) (multiplicity 4)  6 Pm 3.00-3.04
Se (0.0000, 0.5000, 0.5000) (multiplicity 2)  6 Pm 3.00-3.04
S (0.0000, 0.3332, 0.0000) (multiplicity 4)  6 Pm 2.85-2.86

formation energy (no corrections): -1904 meV/atom

***

# 2
Computed, not measured: a geometry-optimized CrMoS2Cl structure at the GGA-PBE level of DFT.

Unit cell a=4.6590 b=4.6590 c=4.9538 alpha=90.00 beta=90.00 gamma=90.00
Closest atoms and distances in Å follow each position.
Space group P4/mmm (No. 123)
Inequivalent atoms, fractional coordinates:
Cr (0.0000, 0.0000, 0.0000) (multiplicity 1)  4 Cl 3.29, 8 S 3.40
Mo (0.5000, 0.5000, 0.5000) (multiplicity 1)  4 S 2.33, 2 Cl 2.48
S (0.0000, 0.5000, 0.5000) (multiplicity 2)  2 Mo 2.33
Cl (0.5000, 0.5000, 0.0000) (multiplicity 1)  2 Mo 2.48

formation energy (no corrections): 170 meV/atom
energy relative to the lowest polymorph listed for this composition: 0 meV per atom

***

# 3
Computed, not measured: a geometry-optimized NbAlCoRe structure at the GGA-PBE level of DFT.

Unit cell a=6.1476 b=6.1476 c=6.1476 alpha=90.00 beta=90.00 gamma=90.00
Closest atoms and distances in Å follow each position.
Space group F-43m (No. 216)
Inequivalent atoms, fractional coordinates:
Nb (0.0000, 0.0000, 0.0000) (multiplicity 4)  4 Re 2.66, 4 Co 2.66
Al (0.0000, 0.0000, 0.5000) (multiplicity 4)  4 Co 2.66, 4 Re 2.66
Co (0.2500, 0.2500, 0.7500) (multiplicity 4)  4 Nb 2.66, 4 Al 2.66
Re (0.2500, 0.2500, 0.2500) (multiplicity 4)  4 Nb 2.66, 4 Al 2.66

***

# 4
Computed, not measured: a geometry-optimized Nd2Ga4IrPd3 structure at the GGA-PBE level of DFT.

Unit cell a=4.3258 b=4.3258 c=10.2711 alpha=90.00 beta=90.00 gamma=90.00
Closest atoms and distances in Å follow each position.
Space group P-4m2 (No. 115)
Inequivalent atoms, fractional coordinates:
Nd (0.0000, 0.5000, 0.2460) (multiplicity 2)  8 Ga 3.29-3.39, 6 Pd 3.31-3.33, 2 Ir 3.33
Ga (0.0000, 0.0000, 0.5000) (multiplicity 1)  4 Pd 2.54
Ga (0.0000, 0.5000, 0.8726) (multiplicity 2)  3 Pd 2.49-2.53, 2 Ir 2.53
Ga (0.5000, 0.5000, 0.5000) (multiplicity 1)  4 Pd 2.54
Ir (0.5000, 0.5000, 0.0000) (multiplicity 1)  4 Ga 2.53
Pd (0.0000, 0.0000, 0.0000) (multiplicity 1)  4 Ga 2.53
Pd (0.0000, 0.5000, 0.6305) (multiplicity 2)  5 Ga 2.49-2.54

***

# 5
Computed, not measured: a geometry-optimized PaV2Se3 structure at the GGA-PBE level of DFT.

Unit cell a=19.4258 b=3.5208 c=8.1532 alpha=90.00 beta=94.16 gamma=90.00
Closest atoms and distances in Å follow each position.
Space group C2/m (No. 12)
Inequivalent atoms, fractional coordinates:
Pa (0.1658, 0.0000, 0.0480) (multiplicity 4)  6 Se 2.86-3.01, 2 V 3.03
V (0.0477, 0.5000, 0.1425) (multiplicity 4)  4 Se 2.46-2.50
V (0.2095, 0.0000, 0.4383) (multiplicity 4)  4 Se 2.47-2.52, 2 V 2.52
Se (0.0785, 0.5000, 0.8501) (multiplicity 4)  2 V 2.46-2.50
Se (0.0856, 0.0000, 0.3415) (multiplicity 4)  3 V 2.47-2.48
Se (0.2397, 0.0000, 0.7385) (multiplicity 4)  3 V 2.47-2.52

formation energy (no corrections): -628 meV/atom

***

# 6
Computed, not measured: a geometry-optimized TiGa2Fe structure at the GGA-PBE level of DFT.

Unit cell a=2.7465 b=2.7465 c=7.6225 alpha=90.00 beta=90.00 gamma=90.00
Closest atoms and distances in Å follow each position.
Space group P4/mmm (No. 123)
Inequivalent atoms, fractional coordinates:
Ti (0.0000, 0.0000, 0.0000) (multiplicity 1)  4 Ti 2.75, 8 Ga 2.81
Ga (0.5000, 0.5000, 0.2666) (multiplicity 2)  4 Fe 2.63, 4 Ga 2.75, 4 Ti 2.81
Fe (0.0000, 0.0000, 0.5000) (multiplicity 1)  8 Ga 2.63, 4 Fe 2.75

***

# 7
Computed, not measured: a geometry-optimized Ca3PuSn12 structure at the GGA-PBE level of DFT.

Unit cell a=4.7210 b=4.7210 c=19.0535 alpha=90.00 beta=90.00 gamma=90.00
Closest atoms and distances in Å follow each position.
Space group P4/mmm (No. 123)
Inequivalent atoms, fractional coordinates:
Ca (0.0000, 0.0000, 0.0000) (multiplicity 1)  12 Sn 3.34-3.37
Ca (0.0000, 0.0000, 0.2542) (multiplicity 2)  12 Sn 3.34-3.39
Pu (0.0000, 0.0000, 0.5000) (multiplicity 1)  12 Sn 3.31-3.34
Sn (0.0000, 0.5000, 0.1263) (multiplicity 4)  8 Sn 3.34-3.37, 4 Ca 3.37-3.39
Sn (0.0000, 0.5000, 0.3780) (multiplicity 4)  8 Sn 3.31-3.36, 2 Pu 3.31, 2 Ca 3.34
Sn (0.5000, 0.5000, 0.0000) (multiplicity 1)  4 Ca 3.34, 8 Sn 3.37
Sn (0.5000, 0.5000, 0.2525) (multiplicity 2)  4 Ca 3.34, 8 Sn 3.36-3.37
Sn (0.5000, 0.5000, 0.5000) (multiplicity 1)  8 Sn 3.31, 4 Pu 3.34

***

# 8
Computed, not measured: a geometry-optimized NaYIO2 structure at the GGA-PBE level of DFT.

Unit cell a=4.3886 b=4.3886 c=5.1245 alpha=90.00 beta=90.00 gamma=90.00
Closest atoms and distances in Å follow each position.
Space group P4/mmm (No. 123)
Inequivalent atoms, fractional coordinates:
Na (0.0000, 0.0000, 0.0000) (multiplicity 1)  4 O 2.19
Y (0.5000, 0.5000, 0.5000) (multiplicity 1)  4 I 3.10, 8 O 3.37
I (0.0000, 0.0000, 0.5000) (multiplicity 1)  2 Na 2.56
O (0.0000, 0.5000, 0.0000) (multiplicity 2)  2 Na 2.19

formation energy (no corrections): -475 meV/atom
energy relative to the lowest polymorph listed for this composition: 1214 meV per atom

***

# 9
Computed, not measured: a geometry-optimized Li2Th2Hg3 structure at the GGA-PBE level of DFT.

Unit cell a=3.7608 b=26.3639 c=3.3410 alpha=90.00 beta=90.00 gamma=90.00
Closest atoms and distances in Å follow each position.
Space group Cmmm (No. 65)
Inequivalent atoms, fractional coordinates:
Li (0.0000, 0.2153, 0.0000) (multiplicity 4)  2 Li 2.62, 4 Hg 2.80
Th (0.0000, 0.0830, 0.0000) (multiplicity 4)  8 Hg 3.33-3.37, 2 Th 3.34, 1 Li 3.49
Hg (0.0000, 0.3317, 0.5000) (multiplicity 4)  4 Li 2.80
Hg (0.0000, 0.5000, 0.5000) (multiplicity 2)  8 Th 3.33, 2 Hg 3.34

***

# 10
Computed, not measured: a geometry-optimized Dy3Ga4Pt4 structure at the GGA-PBE level of DFT.

Unit cell a=4.1119 b=7.2064 c=14.2907 alpha=90.00 beta=90.00 gamma=90.00
Closest atoms and distances in Å follow each position.
Space group Immm (No. 71)
Inequivalent atoms, fractional coordinates:
Dy (0.0000, 0.0000, 0.0000) (multiplicity 2)  6 Pt 2.98-3.08
Dy (0.0000, 0.5000, 0.1236) (multiplicity 4)  6 Ga 3.06-3.24, 6 Pt 3.07-3.09
Ga (0.0000, 0.2992, 0.3268) (multiplicity 8)  4 Pt 2.58-2.68
Pt (0.0000, 0.0000, 0.2154) (multiplicity 4)  6 Ga 2.59-2.68
Pt (0.0000, 0.2004, 0.5000) (multiplicity 4)  2 Ga 2.58

energy relative to the lowest polymorph listed for this composition: 0 meV per atom

***

# 11
Computed, not measured: a geometry-optimized Zr6PtRh structure at the GGA-PBE level of DFT.

Unit cell a=4.7421 b=4.7421 c=14.6760 alpha=90.00 beta=90.00 gamma=90.00
Closest atoms and distances in Å follow each position.
Space group I4/mmm (No. 139)
Inequivalent atoms, fractional coordinates:
Zr (0.0000, 0.0000, 0.2494) (multiplicity 4)  12 Zr 3.12-3.35
Zr (0.0000, 0.5000, 0.1115) (multiplicity 8)  2 Pt 2.88, 2 Rh 2.88, 4 Zr 3.12-3.13
Pt (0.0000, 0.0000, 0.5000) (multiplicity 2)  8 Zr 2.88
Rh (0.0000, 0.0000, 0.0000) (multiplicity 2)  8 Zr 2.88

energy relative to the lowest polymorph listed for this composition: 0 meV per atom

***

# 12
Computed, not measured: a geometry-optimized La4TcAsCl2 structure at the GGA-PBE level of DFT.

Unit cell a=7.5712 b=4.2082 c=7.6813 alpha=90.00 beta=106.68 gamma=90.00
Closest atoms and distances in Å follow each position.
Space group P2/m (No. 10)
Inequivalent atoms, fractional coordinates:
La (0.2258, 0.0000, 0.2169) (multiplicity 2)  2 Tc 2.91, 1 As 3.01, 1 Cl 3.13
La (0.2368, 0.5000, 0.7926) (multiplicity 2)  1 Tc 2.72, 2 As 3.02
Tc (0.0000, 0.5000, 0.0000) (multiplicity 1)  6 La 2.72-2.91
As (0.5000, 0.0000, 0.0000) (multiplicity 1)  6 La 3.01-3.02
Cl (0.0000, 0.0000, 0.5000) (multiplicity 1)  6 La 3.13-3.22
Cl (0.5000, 0.5000, 0.5000) (multiplicity 1)  6 La 3.30-3.40

formation energy (no corrections): -1202 meV/atom

***

Calculated total moment (μB per formula unit), listed in the same order as above: 0.0, 4.8, 0.0, 0.0, 1.2, 2.5, 5.5, 1.1, 0.0, 0.0, 0.0, 0.0
Calculated energy (eV/atom), listed in the same order as above: -6.29, -5.94, -8.61, -5.39, -6.99, -5.86, -4.65, -4.33, -3.01, -5.60, -8.56, -6.00